The following is a DFT calculation (SCAN) of a PBEsol-optimized structure of Cs2KSiF7.

Cell: 5.899 8.076 8.076 Å, 91.92 90.00 90.00°
Fractional coordinates of all 22 atoms:
Si 0.000 0.000 0.000
Si 0.000 0.500 0.500
F 0.792 0.897 0.103
F 0.792 0.103 0.897
F 0.500 0.000 0.500
F 0.794 0.608 0.608
F 0.794 0.392 0.392
F 0.500 0.500 0.000
F 0.208 0.897 0.103
F 0.206 0.392 0.392
F 0.000 0.647 0.353
F 0.206 0.608 0.608
F 0.000 0.848 0.848
F 0.208 0.103 0.897
F 0.000 0.152 0.152
F 0.000 0.353 0.647
K 0.500 0.804 0.804
K 0.500 0.196 0.196
Cs 0.500 0.694 0.306
Cs 0.000 0.500 0.000
Cs 0.500 0.306 0.694
Cs 0.000 0.000 0.500

* total energy: -154.7 eV/f.u.
* formation energy from raw total energies: -35.95 eV per formula unit